The following is a GGA-PBE calculation of KIn2Te after structural relaxation, from Alexandria.

a = 5.689 Å, b = 5.689 Å, c = 5.689 Å
α = 60.00°, β = 60.00°, γ = 60.00°
Positions (direct):
1 In 0.250 0.250 0.250
2 In 0.000 0.000 0.000
3 Te 0.750 0.750 0.750
4 K 0.500 0.500 0.500

Summary:
- space group = F-43m, No. 216
- V (Å³ per cell) = 130.2
- final energy (eV/atom) = -2.617
- crystal system = cubic